! GGA-PBE In4Hg, relaxed; values from VASP
! ΔE_f: 0.096 eV/atom
! spin magnetization: 0.0 μB/f.u.
! E above lowest polymorph: 83 meV per atom
&SYSTEM
  ibrav = 0, nat = 20, ntyp = 2
/
ATOMIC_SPECIES
In 114.82 In.upf
Hg 200.59 Hg.upf
CELL_PARAMETERS angstrom
-5.2688 5.2688 5.2688
5.2688 -5.2688 5.2688
5.2688 5.2688 -5.2688
ATOMIC_POSITIONS angstrom
In 1.8370 1.8370 -1.8370
In 3.4899 0.0000 0.0000
In 1.8370 -1.8370 1.8370
In 7.0476 0.0000 0.0000
In 5.2688 2.6344 0.0000
In 5.2688 0.0000 2.6344
In 0.0000 3.4899 0.0000
In 0.0000 0.0000 3.4899
In -1.8370 1.8370 1.8370
In 2.6344 5.2688 0.0000
In 2.6344 0.0000 5.2688
In 3.4317 3.4317 3.4317
In 0.0000 7.0476 0.0000
In 0.0000 0.0000 7.0476
In 0.0000 5.2688 2.6344
In 0.0000 2.6344 5.2688
Hg 3.5098 3.5098 -3.5098
Hg 3.5098 -3.5098 3.5098
Hg 1.7590 1.7590 1.7590
Hg -3.5098 3.5098 3.5098